La2NdHo3 PBE optimized geometry; DOS at the Fermi energy = 9.6 states/eV/f.u.; relative energy among the computed polymorphs = 0.0000 eV/atom; calculated volume = 413 Å³ per cell; space group = No. 15; raw total energy = -27.510 eV per formula unit
1.0
8.563 -3.491 0.000
8.563 3.491 0.000
-1.453 0.000 6.901
La Nd Ho
4 2 6
direct
0.167 0.186 0.090 La
0.186 0.167 0.590 La
0.814 0.833 0.410 La
0.833 0.814 0.910 La
0.235 0.765 0.250 Nd
0.765 0.235 0.750 Nd
0.236 0.764 0.750 Ho
0.356 0.371 0.433 Ho
0.371 0.356 0.933 Ho
0.629 0.644 0.067 Ho
0.644 0.629 0.567 Ho
0.764 0.236 0.250 Ho

=====

La5Nd2Ho5 PBE optimized geometry; DOS at the Fermi energy = 19.2 states/eV/f.u.; calculated volume = 410 Å³ per cell; space group = No. 12; raw total energy = -56.752 eV per formula unit
1.0
7.769 -2.568 0.000
7.769 2.568 0.000
-5.203 0.000 10.283
La Nd Ho
5 2 5
direct
0.000 0.000 0.000 La
0.082 0.082 0.751 La
0.249 0.249 0.249 La
0.751 0.751 0.751 La
0.918 0.918 0.249 La
0.166 0.166 0.499 Nd
0.834 0.834 0.501 Nd
0.333 0.333 0.000 Ho
0.416 0.416 0.749 Ho
0.500 0.500 0.500 Ho
0.584 0.584 0.251 Ho
0.667 0.667 0.000 Ho

=====

La2Nd7Ho3 PBE optimized geometry; DOS at the Fermi energy = 20.4 states/eV/f.u.; relative energy among the computed polymorphs = 0.0512 eV/atom; calculated volume = 419 Å³ per cell; space group = No. 65; raw total energy = -55.562 eV per formula unit
1.0
2.938 -19.390 0.000
2.938 19.390 0.000
0.000 0.000 3.678
La Nd Ho
2 7 3
direct
0.149 0.851 0.000 La
0.851 0.149 0.000 La
0.000 0.000 0.000 Nd
0.071 0.929 0.500 Nd
0.231 0.769 0.000 Nd
0.410 0.590 0.000 Nd
0.590 0.410 0.000 Nd
0.769 0.231 0.000 Nd
0.929 0.071 0.500 Nd
0.314 0.686 0.500 Ho
0.500 0.500 0.500 Ho
0.686 0.314 0.500 Ho

=====

La4Nd7Ho PBE optimized geometry; DOS at the Fermi energy = 21.0 states/eV/f.u.; relative energy among the computed polymorphs = 0.2115 eV/atom; calculated volume = 441 Å³ per cell; space group = No. 12; raw total energy = -54.939 eV per formula unit
1.0
6.137 -3.082 0.000
6.137 3.082 0.000
-6.021 0.000 11.667
La Nd Ho
4 7 1
direct
0.055 0.055 0.334 La
0.363 0.363 0.222 La
0.637 0.637 0.778 La
0.945 0.945 0.666 La
0.000 0.000 0.000 Nd
0.210 0.210 0.923 Nd
0.260 0.260 0.690 Nd
0.364 0.364 0.497 Nd
0.636 0.636 0.503 Nd
0.740 0.740 0.310 Nd
0.790 0.790 0.077 Nd
0.500 0.500 0.000 Ho

=====

LaNd4Ho7 PBE optimized geometry; DOS at the Fermi energy = 17.3 states/eV/f.u.; relative energy among the computed polymorphs = 0.0000 eV/atom; calculated volume = 397 Å³ per cell; space group = No. 2; raw total energy = -55.869 eV per formula unit
1.0
6.295 0.000 0.000
-0.007 7.253 0.000
-2.112 -0.012 8.699
La Nd Ho
1 4 7
direct
0.000 0.000 0.000 La
0.222 0.500 0.668 Nd
0.279 0.751 0.335 Nd
0.721 0.249 0.665 Nd
0.778 0.500 0.332 Nd
0.000 0.500 0.000 Ho
0.221 0.000 0.667 Ho
0.278 0.249 0.332 Ho
0.500 0.249 0.001 Ho
0.500 0.751 0.999 Ho
0.722 0.751 0.668 Ho
0.779 0.000 0.333 Ho

=====

La2NdHo PBE optimized geometry; DOS at the Fermi energy = 9.0 states/eV/f.u.; relative energy among the computed polymorphs = 0.0937 eV/atom; calculated volume = 568 Å³ per cell; space group = No. 225; raw total energy = -18.775 eV per formula unit
1.0
8.283 0.000 0.000
0.000 8.283 0.000
0.000 0.000 8.283
La Nd Ho
8 4 4
direct
0.250 0.250 0.250 La
0.250 0.250 0.750 La
0.250 0.750 0.250 La
0.250 0.750 0.750 La
0.750 0.250 0.250 La
0.750 0.250 0.750 La
0.750 0.750 0.250 La
0.750 0.750 0.750 La
0.000 0.000 0.000 Nd
0.000 0.500 0.500 Nd
0.500 0.000 0.500 Nd
0.500 0.500 0.000 Nd
0.000 0.000 0.500 Ho
0.000 0.500 0.000 Ho
0.500 0.000 0.000 Ho
0.500 0.500 0.500 Ho

=====

La4NdHo10 PBE optimized geometry; DOS at the Fermi energy = 22.8 states/eV/f.u.; calculated volume = 511 Å³ per cell; space group = No. 87; raw total energy = -65.081 eV per formula unit
1.0
-4.868 4.868 5.395
4.868 -4.868 5.395
4.868 4.868 -5.395
La Nd Ho
4 1 10
direct
0.065 0.335 0.400 La
0.335 0.935 0.270 La
0.665 0.065 0.730 La
0.935 0.665 0.600 La
0.000 0.000 0.000 Nd
0.133 0.457 0.907 Ho
0.226 0.133 0.676 Ho
0.250 0.750 0.500 Ho
0.450 0.774 0.907 Ho
0.457 0.550 0.324 Ho
0.543 0.450 0.676 Ho
0.550 0.226 0.093 Ho
0.750 0.250 0.500 Ho
0.774 0.867 0.324 Ho
0.867 0.543 0.093 Ho

=====

La12NdHo7 PBE optimized geometry; DOS at the Fermi energy = 27.2 states/eV/f.u.; relative energy among the computed polymorphs = 0.1191 eV/atom; calculated volume = 707 Å³ per cell; space group = No. 166; raw total energy = -91.816 eV per formula unit
1.0
9.800 5.658 2.125
-9.800 5.658 2.125
0.000 -11.317 2.125
La Nd Ho
12 1 7
direct
0.000 0.408 0.592 La
0.000 0.592 0.408 La
0.069 0.069 0.424 La
0.069 0.424 0.069 La
0.408 0.000 0.592 La
0.408 0.592 0.000 La
0.424 0.069 0.069 La
0.576 0.931 0.931 La
0.592 0.000 0.408 La
0.592 0.408 0.000 La
0.931 0.576 0.931 La
0.931 0.931 0.576 La
0.500 0.500 0.500 Nd
0.000 0.000 0.000 Ho
0.136 0.385 0.385 Ho
0.385 0.136 0.385 Ho
0.385 0.385 0.136 Ho
0.615 0.615 0.864 Ho
0.615 0.864 0.615 Ho
0.864 0.615 0.615 Ho

=====

La6NdHo8 PBE optimized geometry; DOS at the Fermi energy = 22.9 states/eV/f.u.; calculated volume = 511 Å³ per cell; space group = No. 148; raw total energy = -69.195 eV per formula unit
1.0
4.559 2.632 7.096
-4.559 2.632 7.096
0.000 -5.264 7.096
La Nd Ho
6 1 8
direct
0.034 0.733 0.594 La
0.267 0.406 0.966 La
0.406 0.966 0.267 La
0.594 0.034 0.733 La
0.733 0.594 0.034 La
0.966 0.267 0.406 La
0.500 0.500 0.500 Nd
0.077 0.077 0.077 Ho
0.204 0.263 0.614 Ho
0.263 0.614 0.204 Ho
0.386 0.796 0.737 Ho
0.614 0.204 0.263 Ho
0.737 0.386 0.796 Ho
0.796 0.737 0.386 Ho
0.923 0.923 0.923 Ho

=====

La4NdHo PBE optimized geometry; DOS at the Fermi energy = 10.3 states/eV/f.u.; relative energy among the computed polymorphs = 0.0000 eV/atom; calculated volume = 213 Å³ per cell; space group = No. 47; raw total energy = -28.944 eV per formula unit
1.0
3.681 0.000 0.000
0.000 5.242 0.000
0.000 0.000 11.036
La Nd Ho
4 1 1
direct
0.000 0.000 0.167 La
0.000 0.000 0.833 La
0.500 0.500 0.328 La
0.500 0.500 0.672 La
0.000 0.000 0.500 Nd
0.500 0.500 0.000 Ho

=====

LaNd5Ho12 PBE optimized geometry; DOS at the Fermi energy = 30.0 states/eV/f.u.; calculated volume = 592 Å³ per cell; space group = No. 12; raw total energy = -81.959 eV per formula unit
1.0
5.734 -8.657 0.000
5.734 8.657 0.000
-0.010 0.000 5.959
La Nd Ho
1 5 12
direct
0.000 0.000 0.000 La
0.166 0.834 0.500 Nd
0.332 0.668 0.000 Nd
0.500 0.500 0.500 Nd
0.668 0.332 0.000 Nd
0.834 0.166 0.500 Nd
0.013 0.346 0.945 Ho
0.156 0.489 0.446 Ho
0.180 0.180 0.551 Ho
0.325 0.325 0.052 Ho
0.346 0.013 0.945 Ho
0.489 0.156 0.446 Ho
0.511 0.844 0.554 Ho
0.654 0.987 0.055 Ho
0.675 0.675 0.948 Ho
0.820 0.820 0.449 Ho
0.844 0.511 0.554 Ho
0.987 0.654 0.055 Ho

=====

LaNd12Ho3 PBE optimized geometry; DOS at the Fermi energy = 25.4 states/eV/f.u.; calculated volume = 553 Å³ per cell; space group = No. 123; raw total energy = -75.634 eV per formula unit
1.0
5.171 0.000 0.000
0.000 5.171 0.000
0.000 0.000 20.677
La Nd Ho
1 12 3
direct
0.000 0.000 0.000 La
0.000 0.500 0.128 Nd
0.000 0.500 0.376 Nd
0.000 0.500 0.624 Nd
0.000 0.500 0.872 Nd
0.500 0.000 0.128 Nd
0.500 0.000 0.376 Nd
0.500 0.000 0.624 Nd
0.500 0.000 0.872 Nd
0.500 0.500 0.000 Nd
0.500 0.500 0.253 Nd
0.500 0.500 0.500 Nd
0.500 0.500 0.747 Nd
0.000 0.000 0.252 Ho
0.000 0.000 0.500 Ho
0.000 0.000 0.748 Ho

=====

La4Nd11Ho9 PBE optimized geometry; DOS at the Fermi energy = 31.1 states/eV/f.u.; calculated volume = 821 Å³ per cell; space group = No. 65; raw total energy = -111.617 eV per formula unit
1.0
8.545 -12.825 0.000
8.545 12.825 0.000
0.000 0.000 3.746
La Nd Ho
4 11 9
direct
0.054 0.255 0.000 La
0.255 0.054 0.000 La
0.745 0.946 0.000 La
0.946 0.745 0.000 La
0.093 0.455 0.500 Nd
0.135 0.865 0.500 Nd
0.211 0.211 0.500 Nd
0.342 0.658 0.500 Nd
0.455 0.093 0.500 Nd
0.500 0.500 0.500 Nd
0.545 0.907 0.500 Nd
0.658 0.342 0.500 Nd
0.789 0.789 0.500 Nd
0.865 0.135 0.500 Nd
0.907 0.545 0.500 Nd
0.000 0.000 0.000 Ho
0.136 0.663 0.000 Ho
0.290 0.435 0.000 Ho
0.337 0.864 0.000 Ho
0.435 0.290 0.000 Ho
0.565 0.710 0.000 Ho
0.663 0.136 0.000 Ho
0.710 0.565 0.000 Ho
0.864 0.337 0.000 Ho

=====

La7Nd4Ho PBE optimized geometry; DOS at the Fermi energy = 19.6 states/eV/f.u.; relative energy among the computed polymorphs = 0.0000 eV/atom; calculated volume = 432 Å³ per cell; space group = No. 2; raw total energy = -57.937 eV per formula unit
1.0
6.466 0.000 0.000
0.015 7.433 0.000
2.157 -0.003 8.998
La Nd Ho
7 4 1
direct
0.000 0.000 0.000 La
0.220 0.501 0.331 La
0.280 0.251 0.669 La
0.500 0.253 0.000 La
0.500 0.747 0.000 La
0.720 0.749 0.331 La
0.780 0.499 0.669 La
0.224 0.000 0.331 Nd
0.277 0.749 0.672 Nd
0.723 0.251 0.328 Nd
0.776 0.000 0.669 Nd
0.000 0.500 0.000 Ho

=====

La8NdHo2 PBE optimized geometry; DOS at the Fermi energy = 17.9 states/eV/f.u.; relative energy among the computed polymorphs = 0.1185 eV/atom; calculated volume = 410 Å³ per cell; space group = No. 12; raw total energy = -51.825 eV per formula unit
1.0
9.832 -3.601 0.000
9.832 3.601 0.000
-0.300 0.000 5.793
La Nd Ho
8 1 2
direct
0.044 0.044 0.238 La
0.094 0.641 0.264 La
0.315 0.315 0.764 La
0.359 0.906 0.736 La
0.641 0.094 0.264 La
0.685 0.685 0.236 La
0.906 0.359 0.736 La
0.956 0.956 0.762 La
0.500 0.500 0.000 Nd
0.216 0.216 0.255 Ho
0.784 0.784 0.745 Ho

=====

La2Nd7Ho3 PBE optimized geometry; DOS at the Fermi energy = 19.3 states/eV/f.u.; relative energy among the computed polymorphs = 0.0000 eV/atom; calculated volume = 416 Å³ per cell; space group = No. 10; raw total energy = -56.176 eV per formula unit
1.0
6.522 0.000 0.000
0.000 3.595 0.000
-1.802 0.000 17.733
La Nd Ho
2 7 3
direct
0.059 0.000 0.170 La
0.941 0.000 0.830 La
0.000 0.500 0.500 Nd
0.229 0.000 0.669 Nd
0.258 0.000 0.996 Nd
0.279 0.500 0.336 Nd
0.721 0.500 0.664 Nd
0.742 0.000 0.004 Nd
0.771 0.000 0.331 Nd
0.455 0.500 0.841 Ho
0.500 0.000 0.500 Ho
0.545 0.500 0.159 Ho

=====

La2Nd4Ho5 PBE optimized geometry; DOS at the Fermi energy = 13.8 states/eV/f.u.; relative energy among the computed polymorphs = 0.1085 eV/atom; calculated volume = 384 Å³ per cell; space group = No. 71; raw total energy = -49.554 eV per formula unit
1.0
-1.772 5.856 9.256
1.772 -5.856 9.256
1.772 5.856 -9.256
La Nd Ho
2 4 5
direct
0.201 0.201 0.000 La
0.799 0.799 0.000 La
0.263 0.000 0.263 Nd
0.409 0.409 0.000 Nd
0.591 0.591 0.000 Nd
0.737 0.000 0.737 Nd
0.000 0.500 0.500 Ho
0.110 0.821 0.289 Ho
0.469 0.179 0.289 Ho
0.531 0.821 0.711 Ho
0.890 0.179 0.711 Ho

=====

La6Nd4Ho PBE optimized geometry; DOS at the Fermi energy = 17.6 states/eV/f.u.; relative energy among the computed polymorphs = 0.0000 eV/atom; calculated volume = 789 Å³ per cell; space group = No. 63; raw total energy = -52.176 eV per formula unit
1.0
3.023 -4.955 0.000
3.023 4.955 0.000
0.000 0.000 26.327
La Nd Ho
12 8 2
direct
0.000 0.000 0.000 La
0.000 0.000 0.500 La
0.060 0.940 0.750 La
0.293 0.707 0.104 La
0.293 0.707 0.396 La
0.385 0.615 0.684 La
0.385 0.615 0.816 La
0.615 0.385 0.184 La
0.615 0.385 0.316 La
0.707 0.293 0.604 La
0.707 0.293 0.896 La
0.940 0.060 0.250 La
0.055 0.945 0.624 Nd
0.055 0.945 0.876 Nd
0.353 0.647 0.545 Nd
0.353 0.647 0.955 Nd
0.647 0.353 0.045 Nd
0.647 0.353 0.455 Nd
0.945 0.055 0.124 Nd
0.945 0.055 0.376 Nd
0.282 0.718 0.250 Ho
0.718 0.282 0.750 Ho

=====

LaNd3Ho4 PBE optimized geometry; DOS at the Fermi energy = 12.9 states/eV/f.u.; relative energy among the computed polymorphs = 0.1035 eV/atom; calculated volume = 537 Å³ per cell; space group = No. 71; raw total energy = -36.468 eV per formula unit
1.0
3.449 0.000 0.000
0.000 11.722 0.000
0.000 0.000 13.276
La Nd Ho
2 6 8
direct
0.000 0.000 0.000 La
0.500 0.500 0.500 La
0.000 0.000 0.500 Nd
0.000 0.500 0.258 Nd
0.000 0.500 0.742 Nd
0.500 0.000 0.242 Nd
0.500 0.000 0.758 Nd
0.500 0.500 0.000 Nd
0.000 0.251 0.135 Ho
0.000 0.251 0.865 Ho
0.000 0.749 0.135 Ho
0.000 0.749 0.865 Ho
0.500 0.249 0.365 Ho
0.500 0.249 0.635 Ho
0.500 0.751 0.365 Ho
0.500 0.751 0.635 Ho

=====

| no. | energy relative to the elements (eV per atom) |
| --- | --- |
| 1 | 0.14 |
| 2 | 0.03 |
| 3 | 0.12 |
| 4 | 0.23 |
| 5 | 0.01 |
| 6 | 0.11 |
| 7 | 0.34 |
| 8 | 0.21 |
| 9 | 0.12 |
| 10 | 0.02 |
| 11 | 0.10 |
| 12 | 0.02 |
| 13 | 0.07 |
| 14 | 0.02 |
| 15 | 0.14 |
| 16 | 0.07 |
| 17 | 0.21 |
| 18 | 0.09 |
| 19 | 0.13 |